Entry from Alexandria: crystalline LiPr3S4 at its relaxed geometry (PBE-GGA).

```
LiPr3S4
1.0
-1.630 1.151 -5.394
4.673 -2.700 -1.988
-2.930 -4.946 -0.170
S Pr Li
4 3 1
Direct
0.000 0.000 0.500
0.500 0.500 0.500
0.000 0.500 0.000
0.500 0.000 0.000
0.500 0.000 0.500
0.000 0.500 0.500
0.500 0.500 0.000
0.000 0.000 0.000
```

Output
Energy relative to the elements, uncorrected, eV per atom: -1.925
DOS(E_F), states/eV/f.u.: 2.793
Symmetry: Pm-3m (221)
Magnetic moment, μB per atom: 0.00
Energy above the lowest structure with this stoichiometry, meV per atom: 0
DFT total energy, eV/atom: -6.02